# Cs3NpCl6, relaxed, DFT PBE
# uncorrected energy	-4.58	eV per atom
data_Cs3NpCl6
_space_group_name_H-M_alt 'C 1 2/m 1'
_space_group_IT_number 12
_space_group_name_Hall '-C 2y'
_cell_length_a 13.924
_cell_length_b 8.157
_cell_length_c 8.475
_cell_angle_alpha 90.00
_cell_angle_beta 123.07
_cell_angle_gamma 90.00
loop_
_atom_site_label
_atom_site_fract_x
_atom_site_fract_y
_atom_site_fract_z
Cs1 0.000 0.000 0.000
Cs2 0.243 0.000 0.724
Np1 0.000 0.500 0.500
Cl1 0.068 0.267 0.349
Cl2 0.212 0.500 0.829

***

# CsNpCl4, relaxed, DFT PBE
# uncorrected energy	-5.36	eV per atom
data_CsNpCl4
_space_group_name_H-M_alt 'C 1 2/c 1'
_space_group_IT_number 15
_space_group_name_Hall '-C 2yc'
_cell_length_a 10.227
_cell_length_b 15.197
_cell_length_c 7.055
_cell_angle_alpha 90.00
_cell_angle_beta 124.76
_cell_angle_gamma 90.00
loop_
_atom_site_label
_atom_site_fract_x
_atom_site_fract_y
_atom_site_fract_z
Cs1 0.000 0.147 0.250
Np1 0.000 0.423 0.750
Cl1 0.156 0.300 0.689
Cl2 0.197 0.460 0.212

***

> What is the uncorrected energy in the second record?

-5.36 eV per atom